[1]
# PBE-GGA Dy8Tl3Sn2, relaxed
data_Dy8Tl3Sn2
_chemical_formula_sum 'Dy16 Tl6 Sn4'
_space_group_name_H-M_alt 'C m m m'
_space_group_IT_number 65
_space_group_name_Hall '-C 2 2'
_cell_length_a 10.3654
_cell_length_b 15.0435
_cell_length_c 5.1284
_cell_angle_alpha 90.00
_cell_angle_beta 90.00
_cell_angle_gamma 90.00
loop_
_atom_site_label
_atom_site_type_symbol
_atom_site_fract_x
_atom_site_fract_y
_atom_site_fract_z
Dy1 Dy 0.0000 0.1210 0.0000
Dy2 Dy 0.0000 0.3666 0.0000
Dy3 Dy 0.2494 0.1276 0.5000
Tl1 Tl 0.0000 0.5000 0.5000
Tl2 Tl 0.2473 0.0000 0.0000
Sn1 Sn 0.0000 0.2425 0.5000
# DFT total energy: -111.13 eV for the cell shown
# Formation energy: -351.8 kJ/mol of formula units
# Spin magnetization: 0.0000 μB per atom
# Volume: 30.8 A^3/atom

[2]
# PBE-GGA DyTl2Sn, relaxed
data_DyTl2Sn
_chemical_formula_sum 'Dy1 Tl2 Sn1'
_space_group_name_H-M_alt 'P 4/m m m'
_space_group_IT_number 123
_space_group_name_Hall '-P 4 2'
_cell_length_a 4.6155
_cell_length_b 4.6155
_cell_length_c 5.0641
_cell_angle_alpha 90.00
_cell_angle_beta 90.00
_cell_angle_gamma 90.00
loop_
_atom_site_label
_atom_site_type_symbol
_atom_site_fract_x
_atom_site_fract_y
_atom_site_fract_z
Dy1 Dy 0.0000 0.0000 0.0000
Tl1 Tl 0.0000 0.5000 0.5000
Sn1 Sn 0.5000 0.5000 0.0000
# DFT total energy: -14.53 eV for the cell shown
# E above lowest polymorph: 0.00 eV per formula unit
# Formation energy: -115.0 kJ/mol of formula units
# Spin magnetization: 0.0000 μB per atom
# Volume: 27.0 A^3/atom

[3]
# PBE-GGA Dy5Tl2Sn2, relaxed
data_Dy5Tl2Sn2
_chemical_formula_sum 'Dy20 Tl8 Sn8'
_space_group_name_H-M_alt 'C m c e'
_space_group_IT_number 64
_space_group_name_Hall '-C 2ac 2'
_cell_length_a 15.8410
_cell_length_b 8.1211
_cell_length_c 8.0440
_cell_angle_alpha 90.00
_cell_angle_beta 90.00
_cell_angle_gamma 90.00
loop_
_atom_site_label
_atom_site_type_symbol
_atom_site_fract_x
_atom_site_fract_y
_atom_site_fract_z
Dy1 Dy 0.0000 0.0000 0.0000
Dy2 Dy 0.1353 0.1762 0.3292
Tl1 Tl 0.2112 0.0000 0.0000
Sn1 Sn 0.0000 0.1310 0.6334
# DFT total energy: -161.90 eV for the cell shown
# E above lowest polymorph: 0.00 eV per formula unit
# Formation energy: -455.9 kJ/mol of formula units
# Spin magnetization: 0.0000 μB per atom
# Volume: 28.7 A^3/atom

[4]
# PBE-GGA Dy6Tl5Sn, relaxed
data_Dy6Tl5Sn
_chemical_formula_sum 'Dy12 Tl10 Sn2'
_space_group_name_H-M_alt 'C m m m'
_space_group_IT_number 65
_space_group_name_Hall '-C 2 2'
_cell_length_a 5.0245
_cell_length_b 15.1165
_cell_length_c 8.5538
_cell_angle_alpha 90.00
_cell_angle_beta 90.00
_cell_angle_gamma 90.00
loop_
_atom_site_label
_atom_site_type_symbol
_atom_site_fract_x
_atom_site_fract_y
_atom_site_fract_z
Dy1 Dy 0.0000 0.0000 0.2468
Dy2 Dy 0.0000 0.3344 0.2496
Tl1 Tl 0.0000 0.1666 0.5000
Tl2 Tl 0.0000 0.1701 0.0000
Tl3 Tl 0.0000 0.5000 0.5000
Sn1 Sn 0.0000 0.5000 0.0000
# DFT total energy: -96.21 eV for the cell shown
# E above lowest polymorph: 0.00 eV per formula unit
# Formation energy: -449.3 kJ/mol of formula units
# Spin magnetization: 0.0000 μB per atom
# Volume: 27.1 A^3/atom

[5]
# PBE-GGA Dy6TlSn, relaxed
data_Dy6TlSn
_chemical_formula_sum 'Dy6 Tl1 Sn1'
_space_group_name_H-M_alt 'P 4/m m m'
_space_group_IT_number 123
_space_group_name_Hall '-P 4 2'
_cell_length_a 4.8251
_cell_length_b 4.8251
_cell_length_c 9.6385
_cell_angle_alpha 90.00
_cell_angle_beta 90.00
_cell_angle_gamma 90.00
loop_
_atom_site_label
_atom_site_type_symbol
_atom_site_fract_x
_atom_site_fract_y
_atom_site_fract_z
Dy1 Dy 0.0000 0.0000 0.0000
Dy2 Dy 0.0000 0.0000 0.5000
Dy3 Dy 0.0000 0.5000 0.2464
Tl1 Tl 0.5000 0.5000 0.5000
Sn1 Sn 0.5000 0.5000 0.0000
# DFT total energy: -36.42 eV for the cell shown
# Formation energy: -235.4 kJ/mol of formula units
# Spin magnetization: 0.0000 μB per atom
# Volume: 28.0 A^3/atom

[6]
# PBE-GGA Dy8TlSn2, relaxed
data_Dy8TlSn2
_chemical_formula_sum 'Dy16 Tl2 Sn4'
_space_group_name_H-M_alt 'C 1 2/m 1'
_space_group_IT_number 12
_space_group_name_Hall '-C 2y'
_cell_length_a 19.4421
_cell_length_b 5.0768
_cell_length_c 6.8509
_cell_angle_alpha 90.00
_cell_angle_beta 103.72
_cell_angle_gamma 90.00
loop_
_atom_site_label
_atom_site_type_symbol
_atom_site_fract_x
_atom_site_fract_y
_atom_site_fract_z
Dy1 Dy 0.0215 0.0000 0.2632
Dy2 Dy 0.0928 0.5000 0.9780
Dy3 Dy 0.1586 0.5000 0.4995
Dy4 Dy 0.2149 0.0000 0.8252
Tl1 Tl 0.0000 0.5000 0.5000
Sn1 Sn 0.1817 0.0000 0.2584
# DFT total energy: -101.05 eV for the cell shown
# Formation energy: -322.0 kJ/mol of formula units
# Spin magnetization: 0.0000 μB per atom
# Volume: 29.9 A^3/atom

> volume of number 1 (Dy8Tl3Sn2)?

30.8 A^3/atom

> Number 6 is which compound?

Dy8TlSn2